Below is a relaxed Ac3Pr3ZnIn2 crystal, with properties calculated at the PBE level.

a b c (Å): 3.9710 9.4182 9.4182
angles (deg): 120.00 90.00 90.00
Last column: nearest neighbours and their distance in Å.
Positions (direct):
Ac 0.5000 0.7346 0.0000  2 Zn 3.19, 2 In 3.50
Ac 0.5000 0.0000 0.7346  2 Zn 3.19, 2 In 3.50
Ac 0.5000 0.2654 0.2654  2 Zn 3.19, 2 In 3.50
Pr 0.0000 0.6003 0.6003  4 In 3.50, 6 Ac 3.73-3.87, 1 Zn 3.76
Pr 0.0000 0.0000 0.3997  4 In 3.50, 6 Ac 3.73-3.87, 1 Zn 3.76
Pr 0.0000 0.3997 0.0000  4 In 3.50, 6 Ac 3.73-3.87, 1 Zn 3.76
Zn 0.0000 0.0000 0.0000  6 Ac 3.19
In 0.5000 0.6667 0.3333  6 Pr 3.50, 3 Ac 3.50
In 0.5000 0.3333 0.6667  6 Pr 3.50, 3 Ac 3.50

Total moment: 0.0 Bohr magnetons per cell
Formation energy from the elements: -5.573 kcal/mol of atoms
Symmetry: No. 189

=====

Below is a relaxed Ac4In5Pt2 crystal, with properties calculated at the PBE level.

a b c (Å): 4.0320 8.0959 10.2834
angles (deg): 94.61 90.00 90.00
Last column: nearest neighbours and their distance in Å.
Positions (direct):
Ac 0.5000 0.7688 0.5548  4 Pt 3.20-3.23
Ac 0.5000 0.1707 0.8578  2 Pt 3.07
Ac 0.5000 0.2312 0.4452  4 Pt 3.20-3.23
Ac 0.5000 0.8293 0.1422  2 Pt 3.07
In 0.0000 0.5473 0.3091  1 Pt 3.10, 2 In 3.17
In 0.0000 0.1913 0.1558  2 In 3.08-3.17, 1 Pt 3.09
In 0.0000 0.5000 0.0000  4 In 3.08-3.17
In 0.0000 0.8087 0.8442  2 In 3.08-3.17, 1 Pt 3.09
In 0.0000 0.4527 0.6909  1 Pt 3.10, 2 In 3.17
Pt 0.0000 0.0699 0.6404  1 Pt 3.01, 6 Ac 3.07-3.23, 2 In 3.09-3.10
Pt 0.0000 0.9301 0.3596  1 Pt 3.01, 6 Ac 3.07-3.23, 2 In 3.09-3.10

Total moment: 0.0 Bohr magnetons per cell
Formation energy from the elements: -15.203 kcal/mol of atoms
Symmetry: No. 10

=====

Below is a relaxed Ac4InPt crystal, with properties calculated at the PBE level.

a b c (Å): 10.6464 10.6463 10.6463
angles (deg): 60.00 60.00 60.00
Last column: nearest neighbours and their distance in Å.
Positions (direct):
Ac 0.4014 0.4014 0.4014  3 Pt 3.10
Ac 0.7959 0.4014 0.4014  3 Pt 3.10
Ac 0.4014 0.7959 0.4014  3 Pt 3.10
Ac 0.4014 0.4014 0.7959  3 Pt 3.10
Ac 0.5567 0.5567 0.9433  2 Pt 3.14
Ac 0.9433 0.9433 0.5567  2 Pt 3.14
Ac 0.5567 0.9433 0.5567  2 Pt 3.14
Ac 0.9433 0.5567 0.9433  2 Pt 3.14
Ac 0.9433 0.5567 0.5567  2 Pt 3.14
Ac 0.5567 0.9433 0.9433  2 Pt 3.14
Ac 0.1851 0.1851 0.8149  2 In 3.68, 2 Pt 3.87, 10 Ac 3.87-3.98
Ac 0.8149 0.8149 0.1851  2 In 3.68, 2 Pt 3.87, 10 Ac 3.87-3.98
Ac 0.1851 0.8149 0.1851  2 In 3.68, 2 Pt 3.87, 10 Ac 3.87-3.98
Ac 0.8149 0.1851 0.8149  2 In 3.68, 2 Pt 3.87, 10 Ac 3.87-3.98
Ac 0.8149 0.1851 0.1851  2 In 3.68, 2 Pt 3.87, 10 Ac 3.87-3.98
Ac 0.1851 0.8149 0.8149  2 In 3.68, 2 Pt 3.87, 10 Ac 3.87-3.98
In 0.1726 0.1726 0.1726  3 In 3.29, 3 Ac 3.68
In 0.4821 0.1726 0.1726  3 In 3.29, 3 Ac 3.68
In 0.1726 0.4821 0.1726  3 In 3.29, 3 Ac 3.68
In 0.1726 0.1726 0.4821  3 In 3.29, 3 Ac 3.68
Pt 0.6072 0.6071 0.6071  6 Ac 3.10-3.14
Pt 0.1786 0.6071 0.6071  6 Ac 3.10-3.14
Pt 0.6072 0.1786 0.6071  6 Ac 3.10-3.14
Pt 0.6072 0.6071 0.1786  6 Ac 3.10-3.14

Total moment: 0.0 Bohr magnetons per cell
Formation energy from the elements: -12.904 kcal/mol of atoms
Symmetry: No. 216